# AcPbSeO2, optimized geometry, DFT PBE
data_AcPbSeO2
_chemical_formula_sum 'Ac2 Pb2 Se2 O4'
_symmetry_space_group_name_H-M 'I 4 m m'
_symmetry_Int_Tables_number 107
_symmetry_space_group_name_Hall 'I 4 -2'
_cell_length_a 4.135
_cell_length_b 4.135
_cell_length_c 13.034
_cell_angle_alpha 90.00
_cell_angle_beta 90.00
_cell_angle_gamma 90.00
loop_
_atom_site_label
_atom_site_type_symbol
_atom_site_fract_x
_atom_site_fract_y
_atom_site_fract_z
Ac1 Ac 0.000 0.000 0.000
Pb1 Pb 0.000 0.000 0.692
Se1 Se 0.000 0.000 0.357
O1 O 0.000 0.500 0.100
# - theoretical density (Mg/m³) = 8.1
# - formation energy from raw total energies (eV per atom) = -1.8046


# AcSi2PbO8, optimized geometry, DFT PBE
data_AcSi2PbO8
_chemical_formula_sum 'Ac1 Si2 Pb1 O8'
_symmetry_space_group_name_H-M 'P -3 m 1'
_symmetry_Int_Tables_number 164
_symmetry_space_group_name_Hall '-P 3 2"'
_cell_length_a 5.4208
_cell_length_b 5.4208
_cell_length_c 7.3382
_cell_angle_alpha 90.00
_cell_angle_beta 90.00
_cell_angle_gamma 120.00
loop_
_atom_site_label
_atom_site_type_symbol
_atom_site_fract_x
_atom_site_fract_y
_atom_site_fract_z
Ac1 Ac 0.0000 0.0000 0.0000
Si1 Si 0.3333 0.6667 0.2365
Pb1 Pb 0.0000 0.0000 0.5000
O1 O 0.1657 0.3314 0.2952
O2 O 0.3333 0.6667 0.0120
# - theoretical density (Mg/m³) = 5.5
# - formation energy from raw total energies (eV per atom) = -2.1907


# Ac2SmPb2O2, optimized geometry, DFT PBE
data_Ac2SmPb2O2
_chemical_formula_sum 'Ac4 Sm2 Pb4 O4'
_symmetry_space_group_name_H-M 'I 4/m m m'
_symmetry_Int_Tables_number 139
_symmetry_space_group_name_Hall '-I 4 2'
_cell_length_a 4.609
_cell_length_b 4.609
_cell_length_c 17.293
_cell_angle_alpha 90.00
_cell_angle_beta 90.00
_cell_angle_gamma 90.00
loop_
_atom_site_label
_atom_site_type_symbol
_atom_site_fract_x
_atom_site_fract_y
_atom_site_fract_z
Ac1 Ac 0.000 0.000 0.109
Sm1 Sm 0.000 0.000 0.500
Pb1 Pb 0.000 0.000 0.300
O1 O 0.000 0.500 0.000
# - theoretical density (Mg/m³) = 9.5
# - formation energy from raw total energies (eV per atom) = -1.6154


# Ac4Sm2Pb3O2, optimized geometry, DFT PBE
data_Ac4Sm2Pb3O2
_chemical_formula_sum 'Ac8 Sm4 Pb6 O4'
_symmetry_space_group_name_H-M 'I 4/m m m'
_symmetry_Int_Tables_number 139
_symmetry_space_group_name_Hall '-I 4 2'
_cell_length_a 5.101
_cell_length_b 5.101
_cell_length_c 26.788
_cell_angle_alpha 90.00
_cell_angle_beta 90.00
_cell_angle_gamma 90.00
loop_
_atom_site_label
_atom_site_type_symbol
_atom_site_fract_x
_atom_site_fract_y
_atom_site_fract_z
Ac1 Ac 0.000 0.500 0.086
Sm1 Sm 0.000 0.000 0.197
Pb1 Pb 0.000 0.000 0.318
Pb2 Pb 0.000 0.000 0.500
O1 O 0.000 0.000 0.109
# - theoretical density (Mg/m³) = 8.9
# - formation energy from raw total energies (eV per atom) = -1.2355